Here is Na3TaPb after structural relaxation from Alexandria. Energies are from GGA-PBE.

Summary:
Its space-group type is Pm-3m. For the offset from the most stable computed form, the calculation gives 0 meV/atom.

abc: 5.7038 5.7038 5.7038
angles: 90.00 90.00 90.00
Closest atoms and distances in Å follow each position.
Fractional coordinates of all 5 atoms:
Na1 0.0000 0.0000 0.5000  2 Pb 2.85
Na2 0.0000 0.5000 0.0000  2 Pb 2.85
Na3 0.5000 0.0000 0.0000  2 Pb 2.85
Ta1 0.5000 0.5000 0.5000  12 Na 4.03
Pb1 0.0000 0.0000 0.0000  6 Na 2.85

---

Here is Na4Ta2Pb after structural relaxation from Alexandria. Energies are from GGA-PBE.

Summary:
Its space-group type is I4/mmm.

abc: 5.9182 5.9182 14.9163
angles: 90.00 90.00 90.00
Closest atoms and distances in Å follow each position.
Fractional coordinates of all 14 atoms:
Na1 0.0000 0.0000 0.2070  1 Pb 3.09, 1 Ta 3.25
Na2 0.0000 0.0000 0.7930  1 Pb 3.09, 1 Ta 3.25
Na3 0.0000 0.5000 0.0000  2 Pb 2.96, 4 Ta 3.16
Na4 0.0000 0.5000 0.5000  2 Pb 2.96, 4 Ta 3.16
Na5 0.5000 0.0000 0.0000  2 Pb 2.96, 4 Ta 3.16
Na6 0.5000 0.0000 0.5000  2 Pb 2.96, 4 Ta 3.16
Na7 0.5000 0.5000 0.2930  1 Pb 3.09, 1 Ta 3.25
Na8 0.5000 0.5000 0.7070  1 Pb 3.09, 1 Ta 3.25
Ta1 0.0000 0.0000 0.4249  1 Ta 2.24
Ta2 0.0000 0.0000 0.5751  1 Ta 2.24
Ta3 0.5000 0.5000 0.0751  1 Ta 2.24
Ta4 0.5000 0.5000 0.9249  1 Ta 2.24
Pb1 0.0000 0.0000 0.0000  6 Na 2.96-3.09
Pb2 0.5000 0.5000 0.5000  6 Na 2.96-3.09

---

Here is NaTa2Pb after structural relaxation from Alexandria. Energies are from GGA-PBE.

Summary:
Its space-group type is I-42d.

abc: 8.0668 8.0668 5.5704
angles: 90.00 90.00 90.00
Closest atoms and distances in Å follow each position.
Fractional coordinates of all 16 atoms:
Na1 0.0000 0.0000 0.0000  2 Pb 2.79, 4 Ta 3.02
Na2 0.0000 0.5000 0.2500  2 Pb 2.79, 4 Ta 3.02
Na3 0.5000 0.0000 0.7500  2 Pb 2.79, 4 Ta 3.02
Na4 0.5000 0.5000 0.5000  2 Pb 2.79, 4 Ta 3.02
Ta1 0.2349 0.2500 0.6250  2 Ta 2.80, 2 Pb 2.85, 2 Na 3.02
Ta2 0.2500 0.7349 0.8750  2 Ta 2.80, 2 Pb 2.85, 2 Na 3.02
Ta3 0.2500 0.7651 0.3750  2 Ta 2.80, 2 Pb 2.85, 2 Na 3.02
Ta4 0.2651 0.2500 0.1250  2 Ta 2.80, 2 Pb 2.85, 2 Na 3.02
Ta5 0.7349 0.7500 0.1250  2 Ta 2.80, 2 Pb 2.85, 2 Na 3.02
Ta6 0.7500 0.2349 0.3750  2 Ta 2.80, 2 Pb 2.85, 2 Na 3.02
Ta7 0.7500 0.2651 0.8750  2 Ta 2.80, 2 Pb 2.85, 2 Na 3.02
Ta8 0.7651 0.7500 0.6250  2 Ta 2.80, 2 Pb 2.85, 2 Na 3.02
Pb1 0.0000 0.0000 0.5000  2 Na 2.79, 4 Ta 2.85
Pb2 0.0000 0.5000 0.7500  2 Na 2.79, 4 Ta 2.85
Pb3 0.5000 0.0000 0.2500  2 Na 2.79, 4 Ta 2.85
Pb4 0.5000 0.5000 0.0000  2 Na 2.79, 4 Ta 2.85

---

Here is Na2TaTlPb after structural relaxation from Alexandria. Energies are from GGA-PBE.

Summary:
Its space-group type is P4/mmm.

abc: 6.0017 6.0017 5.5316
angles: 90.00 90.00 90.00
Closest atoms and distances in Å follow each position.
Fractional coordinates of all 5 atoms:
Na1 0.0000 0.5000 0.0000  2 Ta 3.00
Na2 0.5000 0.0000 0.0000  2 Ta 3.00
Ta1 0.0000 0.0000 0.0000  2 Pb 2.77, 4 Na 3.00
Tl1 0.5000 0.5000 0.5000  8 Na 4.08, 4 Pb 4.24
Pb1 0.0000 0.0000 0.5000  2 Ta 2.77

---

Here is NaTaVPb2 after structural relaxation from Alexandria. Energies are from GGA-PBE.

Summary:
Its space-group type is P4/mmm.

abc: 5.5817 5.5817 4.7292
angles: 90.00 90.00 90.00
Closest atoms and distances in Å follow each position.
Fractional coordinates of all 5 atoms:
Na1 0.0000 0.0000 0.0000  8 Pb 3.66, 4 V 3.95
Ta1 0.5000 0.5000 0.5000  2 V 2.36
V1 0.5000 0.5000 0.0000  2 Ta 2.36
Pb1 0.0000 0.5000 0.5000  2 Ta 2.79
Pb2 0.5000 0.0000 0.5000  2 Ta 2.79

---

Here is NaTaPbW2 after structural relaxation from Alexandria. Energies are from GGA-PBE.

Summary:
Its space-group type is P4/mmm.

abc: 5.1001 5.1001 5.2005
angles: 90.00 90.00 90.00
Closest atoms and distances in Å follow each position.
Fractional coordinates of all 5 atoms:
Na1 0.0000 0.0000 0.0000  4 Ta 3.61, 8 W 3.64
Ta1 0.5000 0.5000 0.0000  2 Pb 2.60
Pb1 0.5000 0.5000 0.5000  4 W 2.55, 2 Ta 2.60
W1 0.0000 0.5000 0.5000  2 Pb 2.55
W2 0.5000 0.0000 0.5000  2 Pb 2.55

---

Here is Na2TbPb after structural relaxation from Alexandria. Energies are from GGA-PBE.

Summary:
Its space-group type is R-3m.

abc: 3.4431 3.4431 37.5991
angles: 90.00 90.00 120.00
Closest atoms and distances in Å follow each position.
Fractional coordinates of all 12 atoms:
Na1 0.0000 0.0000 0.0910  1 Tb 3.42, 6 Na 3.44, 3 Pb 3.47
Na2 0.0000 0.0000 0.9090  1 Tb 3.42, 6 Na 3.44, 3 Pb 3.47
Na3 0.3333 0.6667 0.5757  1 Tb 3.42, 6 Na 3.44, 3 Pb 3.47
Na4 0.3333 0.6667 0.7577  1 Tb 3.42, 6 Na 3.44, 3 Pb 3.47
Na5 0.6667 0.3333 0.2423  1 Tb 3.42, 6 Na 3.44, 3 Pb 3.47
Na6 0.6667 0.3333 0.4243  1 Tb 3.42, 6 Na 3.44, 3 Pb 3.47
Tb1 0.0000 0.0000 0.0000  2 Na 3.42, 6 Tb 3.44
Tb2 0.3333 0.6667 0.6667  2 Na 3.42, 6 Tb 3.44
Tb3 0.6667 0.3333 0.3333  2 Na 3.42, 6 Tb 3.44
Pb1 0.0000 0.0000 0.5000  6 Pb 3.44, 6 Na 3.47
Pb2 0.3333 0.6667 0.1667  6 Pb 3.44, 6 Na 3.47
Pb3 0.6667 0.3333 0.8333  6 Pb 3.44, 6 Na 3.47

---

Here is NaTb2Pb3 after structural relaxation from Alexandria. Energies are from GGA-PBE.

Summary:
Its space-group type is P4/mmm.

abc: 3.9217 3.9217 11.2438
angles: 90.00 90.00 90.00
Closest atoms and distances in Å follow each position.
Fractional coordinates of all 6 atoms:
Na1 0.0000 0.0000 0.0000  8 Pb 3.35, 2 Tb 3.73
Tb1 0.0000 0.0000 0.3319  8 Pb 3.33-3.36, 1 Na 3.73
Tb2 0.0000 0.0000 0.6681  8 Pb 3.33-3.36, 1 Na 3.73
Pb1 0.5000 0.5000 0.1674  4 Tb 3.33, 4 Na 3.35
Pb2 0.5000 0.5000 0.5000  8 Tb 3.36, 2 Pb 3.74
Pb3 0.5000 0.5000 0.8326  4 Tb 3.33, 4 Na 3.35

---

Here is NaTbPb4 after structural relaxation from Alexandria. Energies are from GGA-PBE.

Summary:
Its space-group type is F-43m.

abc: 6.4610 6.4610 6.4610
angles: 60.00 60.00 60.00
Closest atoms and distances in Å follow each position.
Fractional coordinates of all 6 atoms:
Na1 0.0000 0.0000 0.0000  12 Pb 3.79, 4 Tb 3.96
Tb1 0.7500 0.7500 0.7500  12 Pb 3.79, 4 Na 3.96
Pb1 0.3757 0.3757 0.3757  6 Pb 3.21-3.25
Pb2 0.3757 0.3757 0.8728  6 Pb 3.21-3.25
Pb3 0.3757 0.8728 0.3757  6 Pb 3.21-3.25
Pb4 0.8728 0.3757 0.3757  6 Pb 3.21-3.25

---

Here is NaTb3Pb12 after structural relaxation from Alexandria. Energies are from GGA-PBE.

Summary:
Its space-group type is P4/mmm.

abc: 4.8557 4.8557 19.8283
angles: 90.00 90.00 90.00
Closest atoms and distances in Å follow each position.
Fractional coordinates of all 16 atoms:
Na1 0.0000 0.0000 0.0000  12 Pb 3.43-3.47
Tb1 0.0000 0.0000 0.2552  12 Pb 3.41-3.54
Tb2 0.0000 0.0000 0.5000  12 Pb 3.43-3.46
Tb3 0.0000 0.0000 0.7448  12 Pb 3.41-3.54
Pb1 0.0000 0.5000 0.1252  8 Pb 3.43-3.47, 2 Na 3.47, 2 Tb 3.54
Pb2 0.0000 0.5000 0.3759  4 Tb 3.41-3.46, 8 Pb 3.43-3.49
Pb3 0.0000 0.5000 0.6241  4 Tb 3.41-3.46, 8 Pb 3.43-3.49
Pb4 0.0000 0.5000 0.8748  8 Pb 3.43-3.47, 2 Na 3.47, 2 Tb 3.54
Pb5 0.5000 0.0000 0.1252  8 Pb 3.43-3.47, 2 Na 3.47, 2 Tb 3.54
Pb6 0.5000 0.0000 0.3759  4 Tb 3.41-3.46, 8 Pb 3.43-3.49
Pb7 0.5000 0.0000 0.6241  4 Tb 3.41-3.46, 8 Pb 3.43-3.49
Pb8 0.5000 0.0000 0.8748  8 Pb 3.43-3.47, 2 Na 3.47, 2 Tb 3.54
Pb9 0.5000 0.5000 0.0000  4 Na 3.43, 8 Pb 3.47
Pb10 0.5000 0.5000 0.2495  4 Tb 3.44, 8 Pb 3.46-3.49
Pb11 0.5000 0.5000 0.5000  4 Tb 3.43, 8 Pb 3.46
Pb12 0.5000 0.5000 0.7505  4 Tb 3.44, 8 Pb 3.46-3.49

---

Ordered total energy results: -2.522; -3.471; -5.921; -3.101; -5.198; -5.726; -2.598; -3.937; -3.558; -3.986; unit eV/atom.
Ordered DFT formation energy results: 1.3817; 1.1993; 1.2620; 1.0121; 0.7431; 2.8308; 0.1458; -0.3199; -0.0942; -0.2539; unit eV per atom.
Ordered size of the total moment results: 3.2; 0.0; 0.0; 2.6; 1.7; 0.0; 0.0; 0.0; 0.0; 0.0; unit μB/f.u..